Record 1
ScTaSCl2: single point on PBEsol structure, SCAN.

Cell and atoms, written as POSCAR:
```
ScTaSCl2
1.0
4.738 0.000 0.000
0.000 4.738 0.000
0.000 0.000 4.780
Sc Ta S Cl
1 1 1 2
direct
0.000 0.000 0.000 Sc
0.500 0.500 0.500 Ta
0.500 0.500 0.000 S
0.000 0.500 0.500 Cl
0.500 0.000 0.500 Cl
```



Record 2
ScTeSCl2: single point on PBEsol structure, SCAN.

Cell and atoms, written as POSCAR:
```
ScTeSCl2
1.0
4.769 0.000 0.000
0.000 4.769 0.000
0.000 0.000 5.241
Sc Te S Cl
1 1 1 2
direct
0.000 0.000 0.000 Sc
0.500 0.500 0.500 Te
0.000 0.000 0.500 S
0.000 0.500 0.000 Cl
0.500 0.000 0.000 Cl
```



Record 3
ScTlSCl2: single point on PBEsol structure, SCAN.

Cell and atoms, written as POSCAR:
```
ScTlSCl2
1.0
5.242 0.000 0.000
0.000 5.242 0.000
0.000 0.000 5.096
Sc Tl S Cl
1 1 1 2
direct
0.000 0.000 0.000 Sc
0.500 0.500 0.500 Tl
0.500 0.500 0.000 S
0.000 0.500 0.500 Cl
0.500 0.000 0.500 Cl
```



Record 4
ScWSCl2: single point on PBEsol structure, SCAN.

Cell and atoms, written as POSCAR:
```
ScWSCl2
1.0
4.737 0.000 0.000
0.000 4.737 0.000
0.000 0.000 4.610
Sc W S Cl
1 1 1 2
direct
0.000 0.000 0.000 Sc
0.500 0.500 0.500 W
0.500 0.500 0.000 S
0.000 0.500 0.500 Cl
0.500 0.000 0.500 Cl
```



Record 5
ZrScS2Cl: single point on PBEsol structure, SCAN.

Cell and atoms, written as POSCAR:
```
ZrScS2Cl
1.0
4.843 0.000 0.000
0.000 4.843 0.000
0.000 0.000 4.634
Zr Sc S Cl
1 1 2 1
direct
0.000 0.000 0.000 Zr
0.500 0.500 0.500 Sc
0.000 0.500 0.500 S
0.500 0.000 0.500 S
0.500 0.500 0.000 Cl
```



Record 6
SrSeSCl2: single point on PBEsol structure, SCAN.

Cell and atoms, written as POSCAR:
```
SrSeSCl2
1.0
5.509 0.000 0.000
0.000 5.509 0.000
0.000 0.000 5.833
Sr Se S Cl
1 1 1 2
direct
0.000 0.000 0.000 Sr
0.500 0.500 0.500 Se
0.000 0.000 0.500 S
0.000 0.500 0.000 Cl
0.500 0.000 0.000 Cl
```



In eV/cell, the final energy values for the records above are, in order, -108.6 -82.3 -113.9 -109.7 -77.4 -70.8.